The following is a PBE calculation of crystalline Pr2PbSe at its relaxed geometry, from the Alexandria database.

```
data_Pr2PbSe
_chemical_formula_sum 'Pr6 Pb3 Se3'
_cell_length_a 4.0818
_cell_length_b 4.0818
_cell_length_c 25.6263
_cell_angle_alpha 90.00
_cell_angle_beta 90.00
_cell_angle_gamma 120.00
_symmetry_space_group_name_H-M 'R 3 m'
_symmetry_Int_Tables_number 160
_symmetry_space_group_name_Hall 'R 3 -2"'
loop_
_atom_site_label
_atom_site_fract_x
_atom_site_fract_y
_atom_site_fract_z
_atom_site_occupancy
Pr1 0.0000 0.0000 0.0000 1
Pr2 0.0000 0.0000 0.1922 1
Pb1 0.0000 0.0000 0.4288 1
Se1 0.0000 0.0000 0.5968 1
```

Computed properties:
Its raw formation energy is -1.11 eV per atom. The calculation puts the density of states at the Fermi level at 7.9 states/eV per cell. The polymorph energy (0 for the lowest one) is 95 meV per atom.


The following is a PBE calculation of crystalline Pr6PbSe4 at its relaxed geometry, from the Alexandria database.

```
data_Pr6PbSe4
_chemical_formula_sum 'Pr24 Pb4 Se16'
_cell_length_a 4.3572
_cell_length_b 13.9480
_cell_length_c 21.6272
_cell_angle_alpha 90.00
_cell_angle_beta 90.00
_cell_angle_gamma 90.00
_symmetry_space_group_name_H-M 'C m c m'
_symmetry_Int_Tables_number 63
_symmetry_space_group_name_Hall '-C 2c 2'
loop_
_atom_site_label
_atom_site_fract_x
_atom_site_fract_y
_atom_site_fract_z
_atom_site_occupancy
Pr1 0.0000 0.0000 0.0000 1
Pr2 0.0000 0.1674 0.2500 1
Pr3 0.0000 0.2711 0.5847 1
Pr4 0.0000 0.4564 0.1623 1
Pb1 0.0000 0.1624 0.7500 1
Se1 0.0000 0.0932 0.1240 1
Se2 0.0000 0.3629 0.0400 1
```

Computed properties:
Its raw formation energy is -1.46 eV per atom. The calculation puts the density of states at the Fermi level at 32.4 states/eV per cell.


Q: Among the records above, which one has the highest raw formation energy?
A: Pr2PbSe


What did the second record say?
The following is a PBE calculation of crystalline Pr6PbSe4 at its relaxed geometry, from the Alexandria database.

```
data_Pr6PbSe4
_chemical_formula_sum 'Pr24 Pb4 Se16'
_cell_length_a 4.3572
_cell_length_b 13.9480
_cell_length_c 21.6272
_cell_angle_alpha 90.00
_cell_angle_beta 90.00
_cell_angle_gamma 90.00
_symmetry_space_group_name_H-M 'C m c m'
_symmetry_Int_Tables_number 63
_symmetry_space_group_name_Hall '-C 2c 2'
loop_
_atom_site_label
_atom_site_fract_x
_atom_site_fract_y
_atom_site_fract_z
_atom_site_occupancy
Pr1 0.0000 0.0000 0.0000 1
Pr2 0.0000 0.1674 0.2500 1
Pr3 0.0000 0.2711 0.5847 1
Pr4 0.0000 0.4564 0.1623 1
Pb1 0.0000 0.1624 0.7500 1
Se1 0.0000 0.0932 0.1240 1
Se2 0.0000 0.3629 0.0400 1
```

Computed properties:
Its raw formation energy is -1.46 eV per atom. The calculation puts the density of states at the Fermi level at 32.4 states/eV per cell.